1.
First-principles (PBE) data for a relaxed V6CrRu5 crystal, as listed in the Alexandria database.

## Properties
Magnetic moment = 0.0 Bohr magnetons per cell
Energy of formation = -0.26 eV/atom
SG = C2/m (12)
Final energy = -113.86 eV for the cell shown

a b c (Å): 4.225 7.340 7.340
angles (deg): 120.04 106.75 106.75
Fractional positions:
Ru 0.500 0.171 0.829
Ru 0.000 0.333 0.667
Ru 0.000 0.667 0.333
Ru 0.500 0.829 0.171
Ru 0.500 0.500 0.500
V 0.758 0.918 0.598
V 0.758 0.598 0.918
V 0.737 0.237 0.237
V 0.242 0.082 0.402
V 0.242 0.402 0.082
V 0.263 0.763 0.763
Cr 0.000 0.000 0.000



2.
First-principles (PBE) data for a relaxed VCrRu crystal, as listed in the Alexandria database.

## Properties
Magnetic moment = 0.0 Bohr magnetons per cell
Energy of formation = 0.73 eV/atom
SG = I4mm (107)
Final energy = -25.84 eV for the cell shown

a b c (Å): 2.564 2.564 6.832
angles (deg): 100.81 100.81 90.00
Fractional positions:
V 0.459 0.459 0.918
Cr 0.282 0.282 0.564
Ru 0.109 0.109 0.218



3.
First-principles (PBE) data for a relaxed V4Cr2Ru crystal, as listed in the Alexandria database.

## Properties
Magnetic moment = 0.0 Bohr magnetons per cell
Energy of formation = 0.01 eV/atom
SG = Cmmm (65)
Final energy = -64.94 eV for the cell shown

a b c (Å): 3.016 2.950 10.504
angles (deg): 90.00 98.25 90.00
Fractional positions:
Ru 0.500 0.000 0.000
V 0.927 0.500 0.853
V 0.647 0.000 0.294
V 0.353 0.000 0.706
V 0.073 0.500 0.147
Cr 0.790 0.500 0.580
Cr 0.210 0.500 0.420



4.
First-principles (PBE) data for a relaxed VCr2Ru5 crystal, as listed in the Alexandria database.

## Properties
Magnetic moment = 0.0 Bohr magnetons per cell
Energy of formation = -0.04 eV/atom
SG = Fmm2 (42)
Final energy = -75.03 eV for the cell shown

a b c (Å): 5.363 5.363 5.072
angles (deg): 105.69 105.69 119.24
Fractional positions:
Ru 0.742 0.814 0.500
Ru 0.242 0.314 0.500
Ru 0.309 0.739 0.000
Ru 0.816 0.247 0.000
Ru 0.320 0.236 0.000
Cr 0.249 0.826 0.519
Cr 0.729 0.307 0.481
V 0.816 0.740 0.000



5.
First-principles (PBE) data for a relaxed V6CrRu crystal, as listed in the Alexandria database.

## Properties
Magnetic moment = 0.0 Bohr magnetons per cell
Energy of formation = -0.18 eV/atom
SG = Cmmm (65)
Final energy = -75.04 eV for the cell shown

a b c (Å): 4.180 5.170 5.170
angles (deg): 109.68 90.00 90.00
Fractional positions:
V 0.500 0.000 0.500
V 0.000 0.747 0.253
V 0.000 0.257 0.257
V 0.000 0.253 0.747
V 0.500 0.500 0.000
V 0.000 0.743 0.743
Ru 0.500 0.000 0.000
Cr 0.500 0.500 0.500



6.
First-principles (PBE) data for a relaxed V2CrRu2 crystal, as listed in the Alexandria database.

## Properties
Magnetic moment = 7.7 Bohr magnetons per cell
Energy of formation = 0.13 eV/atom
SG = P4/mbm (127)
Final energy = -91.53 eV for the cell shown

a b c (Å): 7.131 7.131 2.878
angles (deg): 90.00 90.00 90.00
Fractional positions:
Cr 0.500 0.500 0.000
Cr 0.000 0.000 0.000
V 0.843 0.343 0.500
V 0.343 0.157 0.500
V 0.657 0.843 0.500
V 0.157 0.657 0.500
Ru 0.358 0.858 0.000
Ru 0.858 0.642 0.000
Ru 0.142 0.358 0.000
Ru 0.642 0.142 0.000



7.
First-principles (PBE) data for a relaxed V4Cr3Ru2 crystal, as listed in the Alexandria database.

## Properties
Magnetic moment = 0.0 Bohr magnetons per cell
Energy of formation = -0.19 eV/atom
SG = P-3m1 (164)
Final energy = -85.65 eV for the cell shown

a b c (Å): 4.167 4.167 7.708
angles (deg): 90.00 90.00 60.00
Fractional positions:
Ru 0.333 0.333 0.777
Ru 0.667 0.667 0.223
V 0.667 0.667 0.890
V 0.000 0.000 0.664
V 0.000 0.000 0.336
V 0.333 0.333 0.110
Cr 0.000 0.000 0.000
Cr 0.667 0.667 0.553
Cr 0.333 0.333 0.447



8.
First-principles (PBE) data for a relaxed V8Cr3Ru2 crystal, as listed in the Alexandria database.

## Properties
Magnetic moment = 0.0 Bohr magnetons per cell
Energy of formation = 0.26 eV/atom
SG = C2/m (12)
Final energy = -117.02 eV for the cell shown

a b c (Å): 5.011 6.487 6.513
angles (deg): 119.87 95.23 90.00
Fractional positions:
V 0.922 0.602 0.204
V 0.221 0.815 0.630
V 0.078 0.398 0.796
V 0.435 0.801 0.227
V 0.565 0.574 0.773
V 0.779 0.185 0.370
V 0.565 0.199 0.773
V 0.435 0.426 0.227
Ru 0.750 0.797 0.595
Ru 0.250 0.203 0.405
Cr 0.500 0.000 0.000
Cr 0.000 0.806 0.000
Cr 0.000 0.194 0.000



9.
First-principles (PBE) data for a relaxed VCr2Ru2 crystal, as listed in the Alexandria database.

## Properties
Magnetic moment = 0.6 Bohr magnetons per cell
Energy of formation = 0.18 eV/atom
SG = P4/mbm (127)
Final energy = -92.05 eV for the cell shown

a b c (Å): 6.982 6.982 2.771
angles (deg): 90.00 90.00 90.00
Fractional positions:
V 0.000 0.000 0.000
V 0.500 0.500 0.000
Ru 0.658 0.842 0.500
Ru 0.842 0.342 0.500
Ru 0.342 0.158 0.500
Ru 0.158 0.658 0.500
Cr 0.143 0.357 0.000
Cr 0.357 0.857 0.000
Cr 0.857 0.643 0.000
Cr 0.643 0.143 0.000



10.
First-principles (PBE) data for a relaxed V4Cr3Ru crystal, as listed in the Alexandria database.

## Properties
Magnetic moment = 0.0 Bohr magnetons per cell
Energy of formation = -0.19 eV/atom
SG = Pmmm (47)
Final energy = -76.15 eV for the cell shown

a b c (Å): 2.929 4.185 8.288
angles (deg): 90.00 90.00 90.00
Fractional positions:
V 0.000 0.000 0.500
V 0.000 0.500 0.257
V 0.000 0.000 0.000
V 0.000 0.500 0.743
Ru 0.500 0.500 0.000
Cr 0.500 0.000 0.749
Cr 0.500 0.000 0.251
Cr 0.500 0.500 0.500



11.
First-principles (PBE) data for a relaxed V2CrRu5 crystal, as listed in the Alexandria database.

## Properties
Magnetic moment = 0.0 Bohr magnetons per cell
Energy of formation = -0.12 eV/atom
SG = Pbam (55)
Final energy = -150.44 eV for the cell shown

a b c (Å): 4.104 5.247 10.125
angles (deg): 90.00 90.00 90.00
Fractional positions:
Ru 0.000 0.380 0.771
Ru 0.500 0.320 0.107
Ru 0.500 0.820 0.393
Ru 0.500 0.680 0.893
Ru 0.000 0.120 0.271
Ru 0.000 0.620 0.229
Ru 0.000 0.880 0.729
Ru 0.500 0.180 0.607
Ru 0.000 0.500 0.500
Ru 0.000 0.000 0.000
V 0.500 0.152 0.858
V 0.500 0.848 0.142
V 0.500 0.652 0.642
V 0.500 0.348 0.358
Cr 0.000 0.000 0.500
Cr 0.000 0.500 0.000



12.
First-principles (PBE) data for a relaxed V15Cr2Ru2 crystal, as listed in the Alexandria database.

## Properties
Magnetic moment = 0.0 Bohr magnetons per cell
Energy of formation = 0.30 eV/atom
SG = R-3m (166)
Final energy = -168.82 eV for the cell shown

a b c (Å): 6.530 6.530 6.530
angles (deg): 78.97 78.97 78.97
Fractional positions:
Cr 0.087 0.087 0.087
Cr 0.913 0.913 0.913
V 0.651 0.651 0.165
V 0.835 0.349 0.349
V 0.687 0.313 0.000
V 0.313 0.687 0.000
V 0.349 0.349 0.835
V 0.687 0.000 0.313
V 0.651 0.165 0.651
V 0.000 0.500 0.000
V 0.000 0.000 0.500
V 0.000 0.313 0.687
V 0.000 0.687 0.313
V 0.313 0.000 0.687
V 0.500 0.000 0.000
V 0.165 0.651 0.651
V 0.349 0.835 0.349
Ru 0.696 0.696 0.696
Ru 0.304 0.304 0.304



What is the formula in the eleventh record?
V2CrRu5